Entry from Alexandria via LeMat-Bulk: crystalline Pm2GaAg at its relaxed geometry (PBE-GGA).

Calculated values
Volume (Å³/atom): 25.5
ΔE to the lowest computed polymorph (kJ/mol of formula units): 2
E_form (eV per atom): -0.42

Cell: 5.2464 5.2464 5.2464 Å, 60.00 60.00 60.00°
Closest atoms and distances in Å follow each position.
Fractional positions:
Pm1 0.2500 0.2500 0.2500  4 Ga 3.21, 4 Ag 3.21
Ag1 0.5000 0.5000 0.5000  8 Pm 3.21
Pm2 0.7500 0.7500 0.7500  4 Ag 3.21, 4 Ga 3.21
Ga1 0.0000 0.0000 0.0000  8 Pm 3.21